Entry 1:
This record from Alexandria describes a relaxed Nd6Sm4Tm crystal. The functional is PBE.

The structure belongs to space group I-42m (No. 121); the cell edges are 7.6700, 7.6700 and 13.5550 Å and the angles 90.00°, 90.00° and 90.00°. The inequivalent atoms are Nd at (0.0000, 0.5000, 0.0000), Nd at (0.1734, 0.1734, 0.4208), Sm at (0.2280, 0.2280, 0.1870) and Tm at (0.0000, 0.0000, 0.0000).

For the total energy, the calculation gives -4.33 eV per atom.

***

Entry 2:
This record from Alexandria describes a relaxed Nd5Sm4Tm2 crystal. The functional is PBE.

The structure belongs to space group Immm (No. 71); the cell edges are 3.5300, 9.3602 and 23.4349 Å and the angles 90.00°, 90.00° and 90.00°. The inequivalent atoms are Nd at (0.0000, 0.0000, 0.0000), Nd at (0.0000, 0.2948, 0.3495), Sm at (0.0000, 0.1973, 0.5000), Sm at (0.0000, 0.5000, 0.0965) and Tm at (0.0000, 0.5000, 0.2300).

For the total energy, the calculation gives -4.47 eV per atom.

***

| no. | spin magnetization (μB/cell) | ΔE_f (meV/atom) |
| --- | --- | --- |
| 1 | 0.00 | 390 |
| 2 | 0.00 | 227 |